Record 1
DFT (PBE) results for crystalline Np2PaSi6 at its relaxed geometry.

Structure (CIF):
```
data_Np2PaSi6
_chemical_formula_sum 'Np2 Pa1 Si6'
_symmetry_space_group_name_H-M 'P 6/m m m'
_symmetry_Int_Tables_number 191
_symmetry_space_group_name_Hall '-P 6 2'
_cell_length_a 6.9872
_cell_length_b 6.9872
_cell_length_c 3.8851
_cell_angle_alpha 90.00
_cell_angle_beta 90.00
_cell_angle_gamma 120.00
loop_
_atom_site_label
_atom_site_type_symbol
_atom_site_fract_x
_atom_site_fract_y
_atom_site_fract_z
_atom_site_occupancy
Np1 Np 0.3333 0.6667 0.0000 1
Pa1 Pa 0.0000 0.0000 0.0000 1
Si1 Si 0.0000 0.3337 0.5000 1
```

Results
Calculated volume (Å³ per cell): 164.3
ρ (Mg/m³): 8.83
DOS(E_F) (states/eV/f.u.): 14.93
E_form (uncorrected) (kJ/mol of formula units): -312.8

=====

Record 2
DFT (PBE) results for crystalline NpPa2Si at its relaxed geometry.

Structure (CIF):
```
data_NpPa2Si
_chemical_formula_sum 'Np3 Pa6 Si3'
_symmetry_space_group_name_H-M 'R -3 m'
_symmetry_Int_Tables_number 166
_symmetry_space_group_name_Hall '-R 3 2"'
_cell_length_a 3.0303
_cell_length_b 3.0303
_cell_length_c 31.9386
_cell_angle_alpha 90.00
_cell_angle_beta 90.00
_cell_angle_gamma 120.00
loop_
_atom_site_label
_atom_site_type_symbol
_atom_site_fract_x
_atom_site_fract_y
_atom_site_fract_z
_atom_site_occupancy
Np1 Np 0.0000 0.0000 0.0000 1
Pa1 Pa 0.0000 0.0000 0.0894 1
Si1 Si 0.0000 0.0000 0.5000 1
```

Results
Calculated volume (Å³ per cell): 254.0
ρ (Mg/m³): 14.26
DOS(E_F) (states/eV/f.u.): 8.87
E_form (uncorrected) (kJ/mol of formula units): 103.6

=====

Question: Look up the ρ of the second one.
Answer: 14.26 Mg/m³